(1)
Material: Be2SbOs
Method: DFT, GGA-PBE
State: relaxed

The structure in POSCAR format:
```
Be2SbOs
1.0
-4.0745 1.1953 -0.5693
-3.1154 -2.9408 0.0024
-2.7644 -0.1893 3.2675
Sb Os Be
1 1 2
Direct
0.7500 0.7500 0.7500
0.5000 0.5000 0.5000
0.0000 0.0000 0.0000
0.2500 0.2500 0.2500
```

* uncorrected formation energy: 2.38 eV per formula unit
* calculated total energy: -5.11 eV/atom

---

(2)
Material: BaAgRu2
Method: DFT, GGA-PBE
State: relaxed

The structure in POSCAR format:
```
BaAgRu2
1.0
-1.6472 4.1239 2.0971
0.3516 -2.0913 4.4295
3.9036 0.1384 -2.9766
Ag Ba Ru
1 1 2
Direct
0.5000 0.5000 0.0000
0.7500 0.2500 0.5000
0.0000 0.0000 0.0000
0.2500 0.7500 0.5000
```

* calculated total energy: -4.89 eV/atom
* calculated formation energy: 0.937 eV/atom
* energy above the most stable polymorph in this dataset: 2.553 eV/f.u.

---

(3)
Material: YHo2Tm2Sc2
Method: DFT, GGA-PBE
State: relaxed

The structure in POSCAR format:
```
YHo2Tm2Sc2
1.0
-0.7940 -3.2815 -0.0670
1.8543 1.1166 8.4396
-7.5535 1.8740 -2.2767
Y Ho Tm Sc
1 2 2 2
Direct
0.0000 0.0000 0.5000
0.5723 0.1445 0.9150
0.4277 0.8555 0.0850
0.2113 0.4227 0.7915
0.7887 0.5773 0.2085
0.6522 0.3043 0.3936
0.3478 0.6957 0.6064
```

* calculated total energy: -5.14 eV/atom
* calculated formation energy: 0.181 eV/atom

---

(4)
Material: Ho8In2Sb
Method: DFT, GGA-PBE
State: relaxed

The structure in POSCAR format:
```
Ho8In2Sb
1.0
-4.8020 -1.1572 -1.0816
-1.2612 -0.9639 6.6310
0.4268 10.0193 -0.7953
Ho In Sb
8 2 1
Direct
0.4080 0.5346 0.8160
0.6559 0.9857 0.3117
0.7842 0.6845 0.5684
0.9741 0.2387 0.9482
0.2158 0.3155 0.4316
0.3441 0.0143 0.6883
0.5920 0.4654 0.1840
0.0259 0.7613 0.0518
0.8152 0.2468 0.6305
0.1848 0.7532 0.3695
0.5000 0.0000 0.0000
```

* uncorrected formation energy: -3.41 eV per formula unit
* calculated total energy: -4.51 eV/atom

---

(5)
Material: InB
Method: DFT, GGA-PBE
State: relaxed

The structure in POSCAR format:
```
InB
1.0
8.8885 0.0000 0.0000
0.0000 10.1306 0.0000
0.0000 0.0000 7.1764
In B
16 16
Direct
0.0000 0.7412 0.0000
0.0000 0.2588 0.0000
0.2500 0.0088 0.2500
0.2500 0.4912 0.2500
0.0000 0.2412 0.5000
0.0000 0.7588 0.5000
0.2500 0.5088 0.7500
0.2500 0.9912 0.7500
0.5000 0.7412 0.5000
0.5000 0.2588 0.5000
0.7500 0.0088 0.7500
0.7500 0.4912 0.7500
0.5000 0.2412 0.0000
0.5000 0.7588 0.0000
0.7500 0.5088 0.2500
0.7500 0.9912 0.2500
0.5909 0.0000 0.0000
0.4091 0.0000 0.0000
0.6591 0.7500 0.2500
0.8409 0.7500 0.2500
0.5909 0.5000 0.5000
0.4091 0.5000 0.5000
0.6591 0.2500 0.7500
0.8409 0.2500 0.7500
0.0909 0.0000 0.5000
0.9091 0.0000 0.5000
0.1591 0.7500 0.7500
0.3409 0.7500 0.7500
0.0909 0.5000 0.0000
0.9091 0.5000 0.0000
0.1591 0.2500 0.2500
0.3409 0.2500 0.2500
```

* calculated total energy: -3.98 eV/atom
* calculated formation energy: 0.730 eV/atom
* energy above the most stable polymorph in this dataset: 0.733 eV/f.u.

---

(6)
Material: CaTc3Ag
Method: DFT, GGA-PBE
State: relaxed

The structure in POSCAR format:
```
CaTc3Ag
1.0
-3.5126 -3.4935 -0.5726
1.9610 -1.2486 -4.4121
2.9473 -3.3328 2.2531
Ca Tc Ag
1 3 1
Direct
0.5000 0.5000 0.5000
0.0000 0.5000 0.0000
0.0000 0.0000 0.5000
0.5000 0.0000 0.0000
0.0000 0.0000 0.0000
```

* calculated total energy: -5.19 eV/atom
* calculated formation energy: 1.996 eV/atom
* energy above the most stable polymorph in this dataset: 0.000 eV/f.u.

---

(7)
Material: Pr6Hg2H
Method: DFT, GGA-PBE
State: relaxed

The structure in POSCAR format:
```
Pr6Hg2H
1.0
-1.7954 -5.1869 -3.8471
-3.6513 -2.7199 5.3712
-9.3037 5.1385 -3.7224
Pr Hg H
12 4 2
Direct
0.8706 0.0061 0.2615
0.8243 0.6888 0.5303
0.8459 0.6896 0.9592
0.6541 0.1896 0.5408
0.6757 0.1888 0.9697
0.6294 0.5061 0.2385
0.1294 0.9939 0.7385
0.1757 0.3112 0.4697
0.1541 0.3104 0.0408
0.3459 0.8104 0.4592
0.3243 0.8112 0.0303
0.3706 0.4939 0.7615
0.8959 0.3939 0.7435
0.6041 0.8939 0.7565
0.3959 0.1061 0.2435
0.1041 0.6061 0.2565
0.5000 0.5000 0.0000
0.0000 0.0000 0.5000
```

* calculated total energy: -3.86 eV/atom

---

(8)
Material: Ba2TiSb2
Method: DFT, GGA-PBE
State: relaxed

The structure in POSCAR format:
```
Ba2TiSb2
1.0
-6.1291 -1.4839 -5.0702
-2.2843 -6.2580 4.5929
-3.0724 3.1670 2.7871
Sb Ba Ti
4 4 2
Direct
0.3373 0.8373 0.0000
0.8373 0.6627 0.0000
0.6627 0.1627 0.0000
0.1627 0.3373 0.0000
0.1534 0.6534 0.5000
0.6534 0.8466 0.5000
0.8466 0.3466 0.5000
0.3466 0.1534 0.5000
0.0000 0.0000 0.0000
0.5000 0.5000 0.0000
```

* uncorrected formation energy: -2.56 eV per formula unit
* calculated total energy: -4.51 eV/atom

---

(9)
Material: Zr4Ge2H
Method: DFT, GGA-PBE
State: relaxed

The structure in POSCAR format:
```
Zr4Ge2H
1.0
-0.8464 -3.9360 0.2347
1.0001 -0.4465 -3.8813
7.3346 -3.6307 0.2125
H Ge Zr
1 2 4
Direct
0.0000 0.0000 0.0000
0.6375 0.6375 0.7249
0.3625 0.3625 0.2751
0.8198 0.8198 0.3604
0.1802 0.1802 0.6396
0.0000 0.5000 0.0000
0.5000 0.0000 0.0000
```

* calculated total energy: -7.34 eV/atom
* energy above the most stable polymorph in this dataset: 0.000 eV/f.u.

---

(10)
Material: Y2SbSe2
Method: DFT, GGA-PBE
State: relaxed

The structure in POSCAR format:
```
Y2SbSe2
1.0
-0.7272 -0.6188 4.1675
1.3861 -4.0289 -0.3563
7.1538 -0.1104 3.4250
Y Sb Se
2 1 2
Direct
0.3802 0.3802 0.2395
0.6198 0.6198 0.7605
0.0000 0.0000 0.0000
0.7500 0.2500 0.5000
0.2500 0.7500 0.5000
```

* uncorrected formation energy: -5.49 eV per formula unit
* calculated total energy: -5.90 eV/atom
* energy above the most stable polymorph in this dataset: 1.282 eV/f.u.

---

(11)
Material: Ce2Dy2Mg15
Method: DFT, GGA-PBE
State: relaxed

The structure in POSCAR format:
```
Ce2Dy2Mg15
1.0
-0.6217 -7.8594 0.7629
7.0495 -1.0966 3.4412
-2.6591 0.0615 7.4609
Ce Dy Mg
2 2 15
Direct
0.3284 0.3284 0.3284
0.6716 0.6716 0.6716
0.1018 0.1018 0.1018
0.8982 0.8982 0.8982
0.5000 0.0000 0.0000
0.0000 0.0000 0.5000
0.0000 0.5000 0.0000
0.0000 0.7039 0.2961
0.7039 0.2961 0.0000
0.2961 0.0000 0.7039
0.2961 0.7039 0.0000
0.7039 0.0000 0.2961
0.0000 0.2961 0.7039
0.1559 0.6422 0.6422
0.6422 0.6422 0.1559
0.6422 0.1559 0.6422
0.8441 0.3578 0.3578
0.3578 0.3578 0.8441
0.3578 0.8441 0.3578
```

* calculated total energy: -2.33 eV/atom
* calculated formation energy: 0.035 eV/atom

---

(12)
Material: Hf2CuPt9
Method: DFT, GGA-PBE
State: relaxed

The structure in POSCAR format:
```
Hf2CuPt9
1.0
4.0023 0.0000 0.0000
0.0000 4.0023 0.0000
0.0000 0.0000 11.9313
Hf Cu Pt
2 1 9
Direct
0.0000 0.0000 0.3255
0.0000 0.0000 0.6745
0.0000 0.0000 0.0000
0.5000 0.5000 0.0000
0.5000 0.5000 0.3315
0.5000 0.5000 0.6685
0.5000 0.0000 0.1622
0.5000 0.0000 0.5000
0.5000 0.0000 0.8378
0.0000 0.5000 0.1622
0.0000 0.5000 0.5000
0.0000 0.5000 0.8378
```

* calculated total energy: -7.32 eV/atom
* calculated formation energy: -0.790 eV/atom

---

Copy entry 7 word for word.
Material: Pr6Hg2H
Method: DFT, GGA-PBE
State: relaxed

The structure in POSCAR format:
```
Pr6Hg2H
1.0
-1.7954 -5.1869 -3.8471
-3.6513 -2.7199 5.3712
-9.3037 5.1385 -3.7224
Pr Hg H
12 4 2
Direct
0.8706 0.0061 0.2615
0.8243 0.6888 0.5303
0.8459 0.6896 0.9592
0.6541 0.1896 0.5408
0.6757 0.1888 0.9697
0.6294 0.5061 0.2385
0.1294 0.9939 0.7385
0.1757 0.3112 0.4697
0.1541 0.3104 0.0408
0.3459 0.8104 0.4592
0.3243 0.8112 0.0303
0.3706 0.4939 0.7615
0.8959 0.3939 0.7435
0.6041 0.8939 0.7565
0.3959 0.1061 0.2435
0.1041 0.6061 0.2565
0.5000 0.5000 0.0000
0.0000 0.0000 0.5000
```

* calculated total energy: -3.86 eV/atom

---

What did the eighth record say?
Material: Ba2TiSb2
Method: DFT, GGA-PBE
State: relaxed

The structure in POSCAR format:
```
Ba2TiSb2
1.0
-6.1291 -1.4839 -5.0702
-2.2843 -6.2580 4.5929
-3.0724 3.1670 2.7871
Sb Ba Ti
4 4 2
Direct
0.3373 0.8373 0.0000
0.8373 0.6627 0.0000
0.6627 0.1627 0.0000
0.1627 0.3373 0.0000
0.1534 0.6534 0.5000
0.6534 0.8466 0.5000
0.8466 0.3466 0.5000
0.3466 0.1534 0.5000
0.0000 0.0000 0.0000
0.5000 0.5000 0.0000
```

* uncorrected formation energy: -2.56 eV per formula unit
* calculated total energy: -4.51 eV/atom